[1]
Here is AgTe2Cl after structural relaxation from the Alexandria database. Energies are from GGA-PBE.

Formation energy from raw total energies: -113.8 meV per atom
Total energy: -11.436 eV/f.u.
Total magnetization: 0.00 μB per atom

abc: 4.953 4.953 7.708
angles: 96.85 96.85 41.76
Element x y z (fractional)
Ag 0.000 0.000 0.000
Te 0.327 0.327 0.780
Te 0.490 0.490 0.514
Cl 0.659 0.659 0.172

---

[2]
Here is Pr2AlIr after structural relaxation from the Alexandria database. Energies are from GGA-PBE.

Total energy: -24.239 eV/f.u.
Formation energy: -0.5191 eV/atom
Total magnetization: 0.00 μB per atom

abc: 4.422 4.422 6.924
angles: 108.64 108.64 60.12
Element x y z (fractional)
Pr 0.000 0.000 0.000
Pr 0.186 0.186 0.556
Al 0.425 0.425 0.272
Ir 0.764 0.764 0.288

---

[3]
Here is Sc6In2Rh after structural relaxation from the Alexandria database. Energies are from GGA-PBE.

Total energy: -52.850 eV/f.u.
Formation energy: -0.2259 eV/atom
E above lowest polymorph: 235.8 meV/atom
Total magnetization: 0.00 μB per atom

abc: 8.159 8.159 8.159
angles: 146.01 130.58 61.34
Element x y z (fractional)
Sc 0.084 0.346 0.738
Sc 0.226 0.000 0.226
Sc 0.392 0.654 0.738
Sc 0.608 0.346 0.262
Sc 0.774 0.000 0.774
Sc 0.916 0.654 0.262
In 0.333 0.833 0.500
In 0.667 0.167 0.500
Rh 0.000 0.500 0.500

---

Repeat the third record exactly.
Here is Sc6In2Rh after structural relaxation from the Alexandria database. Energies are from GGA-PBE.

Total energy: -52.850 eV/f.u.
Formation energy: -0.2259 eV/atom
E above lowest polymorph: 235.8 meV/atom
Total magnetization: 0.00 μB per atom

abc: 8.159 8.159 8.159
angles: 146.01 130.58 61.34
Element x y z (fractional)
Sc 0.084 0.346 0.738
Sc 0.226 0.000 0.226
Sc 0.392 0.654 0.738
Sc 0.608 0.346 0.262
Sc 0.774 0.000 0.774
Sc 0.916 0.654 0.262
In 0.333 0.833 0.500
In 0.667 0.167 0.500
Rh 0.000 0.500 0.500